Record 1
Compound: Cd2FeW
Source: the Alexandria database
Functional: meta-GGA SCAN
Structure: PBEsol geometry

The calculation puts the distance to the lowest polymorph of the same formula at 11.1 kJ/mol of atoms. The crystal system is orthorhombic. For the density of states at the Fermi level, the calculation gives 0.64 states/eV per atom.

The structure belongs to space group Imm2 (No. 44); the cell edges are 2.956, 4.778 and 9.311 Å and the angles 90.00°, 90.00° and 90.00°. The asymmetric unit holds Cd at (0.000, 0.000, 0.000), Cd at (0.000, 0.500, 0.221), Fe at (0.000, 0.500, 0.752) and W at (0.000, 0.000, 0.440).



Record 2
Compound: Cd2FeW
Source: the Alexandria database
Functional: meta-GGA SCAN
Structure: PBEsol geometry

The calculation puts the distance to the lowest polymorph of the same formula at 9.6 kJ/mol of atoms. The crystal system is orthorhombic. For the density of states at the Fermi level, the calculation gives 0.52 states/eV per atom.

The structure belongs to space group Pmmm (No. 47); the cell edges are 2.946, 4.574 and 4.805 Å and the angles 90.00°, 90.00° and 90.00°. The asymmetric unit holds Cd at (0.000, 0.000, 0.000), Cd at (0.500, 0.500, 0.000), Fe at (0.000, 0.500, 0.500) and W at (0.500, 0.000, 0.500).



Record 3
Compound: YCd2Fe
Source: the Alexandria database
Functional: meta-GGA SCAN
Structure: PBEsol geometry

The crystal system is tetragonal. For the density of states at the Fermi level, the calculation gives 0.49 states/eV per atom.

The structure belongs to space group I4/mmm (No. 139); the cell edges are 4.277, 4.277 and 8.535 Å and the angles 90.00°, 90.00° and 90.00°. The asymmetric unit holds Y at (0.000, 0.000, 0.000), Cd at (0.000, 0.500, 0.250) and Fe at (0.000, 0.000, 0.500).



Record 4
Compound: Y2CdFe
Source: the Alexandria database
Functional: meta-GGA SCAN
Structure: PBEsol geometry

The crystal system is orthorhombic. For the density of states at the Fermi level, the calculation gives 0.94 states/eV per atom.

The structure belongs to space group Amm2 (No. 38); the cell edges are 4.431, 3.782 and 10.953 Å and the angles 90.00°, 90.00° and 90.00°. The asymmetric unit holds Y at (0.000, 0.000, 0.000), Y at (0.500, 0.000, 0.296), Cd at (0.000, 0.000, 0.715) and Fe at (0.500, 0.000, 0.573).



Record 5
Compound: YCdFe2
Source: the Alexandria database
Functional: meta-GGA SCAN
Structure: PBEsol geometry

The crystal system is tetragonal. For the density of states at the Fermi level, the calculation gives 0.60 states/eV per atom.

The structure belongs to space group P4mm (No. 99); the cell edges are 3.101, 3.101 and 7.136 Å and the angles 90.00°, 90.00° and 90.00°. The asymmetric unit holds Y at (0.000, 0.000, 0.000), Cd at (0.500, 0.500, 0.340), Fe at (0.000, 0.000, 0.584) and Fe at (0.500, 0.500, 0.731).



Record 6
Compound: YCdFe2
Source: the Alexandria database
Functional: meta-GGA SCAN
Structure: PBEsol geometry

The crystal system is tetragonal. For the density of states at the Fermi level, the calculation gives 1.27 states/eV per atom.

The structure belongs to space group I4/mmm (No. 139); the cell edges are 4.551, 4.551 and 6.472 Å and the angles 90.00°, 90.00° and 90.00°. The asymmetric unit holds Y at (0.000, 0.000, 0.000), Cd at (0.000, 0.000, 0.500) and Fe at (0.000, 0.500, 0.250).



Record 7
Compound: Zn2CdFe2
Source: the Alexandria database
Functional: meta-GGA SCAN
Structure: PBEsol geometry

The crystal system is tetragonal. For the density of states at the Fermi level, the calculation gives 0.67 states/eV per atom.

The structure belongs to space group I4/mmm (No. 139); the cell edges are 3.400, 3.400 and 12.793 Å and the angles 90.00°, 90.00° and 90.00°. The asymmetric unit holds Zn at (0.000, 0.000, 0.106), Cd at (0.000, 0.000, 0.500) and Fe at (0.000, 0.500, 0.250).



Record 8
Compound: Zn2CdFe
Source: the Alexandria database
Functional: meta-GGA SCAN
Structure: PBEsol geometry

The crystal system is orthorhombic. For the density of states at the Fermi level, the calculation gives 0.39 states/eV per atom.

The structure belongs to space group Imm2 (No. 44); the cell edges are 2.859, 4.454 and 9.124 Å and the angles 90.00°, 90.00° and 90.00°. The asymmetric unit holds Zn at (0.000, 0.000, 0.000), Zn at (0.000, 0.500, 0.248), Cd at (0.000, 0.500, 0.769) and Fe at (0.000, 0.000, 0.522).



Record 9
Compound: Zn2CdFe
Source: the Alexandria database
Functional: meta-GGA SCAN
Structure: PBEsol geometry

The crystal system is monoclinic. For the density of states at the Fermi level, the calculation gives 0.29 states/eV per atom.

The structure belongs to space group C2/m (No. 12); the cell edges are 5.358, 8.630 and 2.663 Å and the angles 90.00°, 109.08° and 90.00°. The asymmetric unit holds Zn at (0.250, 0.250, 0.000), Cd at (0.000, 0.000, 0.500) and Fe at (0.000, 0.500, 0.500).



Record 10
Compound: ZnCd2Fe
Source: the Alexandria database
Functional: meta-GGA SCAN
Structure: PBEsol geometry

The crystal system is orthorhombic. For the density of states at the Fermi level, the calculation gives 0.37 states/eV per atom.

The structure belongs to space group Cmmm (No. 65); the cell edges are 5.620, 8.015 and 2.843 Å and the angles 90.00°, 90.00° and 90.00°. The asymmetric unit holds Zn at (0.000, 0.000, 0.000), Cd at (0.250, 0.250, 0.500) and Fe at (0.000, 0.500, 0.000).



Record 11
Compound: ZnCd2Fe
Source: the Alexandria database
Functional: meta-GGA SCAN
Structure: PBEsol geometry

The crystal system is orthorhombic. For the density of states at the Fermi level, the calculation gives 0.39 states/eV per atom.

The structure belongs to space group Cmm2 (No. 35); the cell edges are 3.984, 3.997 and 8.116 Å and the angles 90.00°, 90.00° and 90.00°. The asymmetric unit holds Zn at (0.000, 0.000, 0.000), Cd at (0.000, 0.000, 0.563), Cd at (0.000, 0.500, 0.263) and Fe at (0.000, 0.500, 0.803).



Record 12
Compound: ZnCd2Fe
Source: the Alexandria database
Functional: meta-GGA SCAN
Structure: PBEsol geometry

The crystal system is tetragonal. For the density of states at the Fermi level, the calculation gives 0.52 states/eV per atom.

The structure belongs to space group P4/mmm (No. 123); the cell edges are 4.040, 4.040 and 3.896 Å and the angles 90.00°, 90.00° and 90.00°. The asymmetric unit holds Zn at (0.000, 0.000, 0.000), Cd at (0.000, 0.500, 0.500) and Fe at (0.500, 0.500, 0.000).



Number 1: ΔH_f (0 K) 0.64 eV per atom, total DFT energy (no corrections) -36.520 eV/atom. Number 2: ΔH_f (0 K) 0.63 eV per atom, total DFT energy (no corrections) -36.536 eV/atom. Number 3: ΔH_f (0 K) -0.02 eV per atom, total DFT energy (no corrections) -26.722 eV/atom. Number 4: ΔH_f (0 K) -0.07 eV per atom, total DFT energy (no corrections) -26.128 eV/atom. Number 5: ΔH_f (0 K) 0.04 eV per atom, total DFT energy (no corrections) -23.590 eV/atom. Number 6: ΔH_f (0 K) 0.32 eV per atom, total DFT energy (no corrections) -23.306 eV/atom. Number 7: ΔH_f (0 K) 0.31 eV per atom, total DFT energy (no corrections) -18.432 eV/atom. Number 8: ΔH_f (0 K) 0.17 eV per atom, total DFT energy (no corrections) -18.725 eV/atom. Number 9: ΔH_f (0 K) 0.14 eV per atom, total DFT energy (no corrections) -18.751 eV/atom. Number 10: ΔH_f (0 K) 0.20 eV per atom, total DFT energy (no corrections) -22.913 eV/atom. Number 11: ΔH_f (0 K) 0.13 eV per atom, total DFT energy (no corrections) -22.986 eV/atom. Number 12: ΔH_f (0 K) 0.18 eV per atom, total DFT energy (no corrections) -22.934 eV/atom.